Zr2Ru: relaxed, PBE.

Results
Magnetic moment = 0.00 μB/cell
ΔH_f (0 K) = -281 meV per atom

Cell and atoms, written as extended XYZ:
```
3
Lattice="4.569 0.000 0.000 -2.285 3.957 0.000 0.000 0.000 3.195" Properties=species:S:1:pos:R:3 pbc="T T T"
Zr 0.000 2.638 0.947
Zr 2.285 1.319 2.248
Ru 0.000 0.000 0.000
```